(1)
VASP calculation (PBE-GGA) on an optimized crystal structure of BeTcHCl2.

The value obtained for the density of states at the Fermi level is 0.7434 states/eV per atom. The magnetization is 0.32 μB/atom. Its symmetry is P4/mmm. The uncorrected energy comes out at -3.63 eV/atom. As for the volume: 16.51 A^3/atom.

a b c (Å): 4.8654 3.4874 4.8654
angles (deg): 90.00 90.00 90.00
With the nearest neighbours (Å) after each atom.
Sites, in units of the cell vectors:
1 Be 0.5000 0.5000 0.5000  8 Cl 2.99
2 Tc 0.0000 0.0000 0.0000  2 H 1.74
3 H 0.0000 0.5000 0.0000  2 Tc 1.74
4 Cl 0.0000 0.0000 0.5000  2 Tc 2.43
5 Cl 0.5000 0.0000 0.0000  2 Tc 2.43

***

(2)
VASP calculation (PBE-GGA) on an optimized crystal structure of Hf3BeCl.

The value obtained for the density of states at the Fermi level is 0.6402 states/eV per atom. The magnetization is 0.00 μB/atom. Its symmetry is Pm-3m. The uncorrected energy comes out at -6.58 eV/atom. The distance to the lowest polymorph of the same formula is 0.000 eV/atom. As for the volume: 20.37 A^3/atom.

a b c (Å): 4.6700 4.6700 4.6700
angles (deg): 90.00 90.00 90.00
With the nearest neighbours (Å) after each atom.
Sites, in units of the cell vectors:
1 Be 0.5000 0.5000 0.5000  12 Hf 3.30
2 Hf 0.0000 0.5000 0.0000  2 Cl 2.33
3 Hf 0.0000 0.0000 0.5000  2 Cl 2.33
4 Hf 0.5000 0.0000 0.0000  2 Cl 2.33
5 Cl 0.0000 0.0000 0.0000  6 Hf 2.33